Entry 1:
The following is a DFT calculation (GGA-PBE) of a geometry-optimized BaBi2Sb2 structure.

Summary:
The density of states at the Fermi level comes out at 0.764 states/eV per atom. Its offset from the most stable computed form is 34.4 meV per atom. As for the total energy: -38.668 eV for the cell shown. The value obtained for the total magnetization is 0.00 μB/f.u. As for the formation energy from raw total energies: -280.9 meV/atom.

abc: 9.1295 9.1295 4.2419
angles: 90.00 90.00 90.00
Last column: nearest neighbours and their distance in Å.
Atoms (fractional coordinates):
Bi (0.1997, 0.6997, 0.5000)  2 Sb 3.03
Bi (0.8003, 0.3003, 0.5000)  2 Sb 3.03
Bi (0.3003, 0.1997, 0.5000)  2 Sb 3.03
Bi (0.6997, 0.8003, 0.5000)  2 Sb 3.03
Sb (0.8670, 0.6330, 0.0000)  2 Bi 3.03
Sb (0.6330, 0.1330, 0.0000)  2 Bi 3.03
Sb (0.1330, 0.3670, 0.0000)  2 Bi 3.03
Sb (0.3670, 0.8670, 0.0000)  2 Bi 3.03
Ba (0.0000, 0.0000, 0.0000)  4 Sb 3.56, 8 Bi 3.92
Ba (0.5000, 0.5000, 0.0000)  4 Sb 3.56, 8 Bi 3.92

=====

Entry 2:
The following is a DFT calculation (GGA-PBE) of a geometry-optimized Ho2ScRh structure.

Summary:
The density of states at the Fermi level comes out at 1.174 states/eV per atom. Its offset from the most stable computed form is 401.8 meV per atom. As for the total energy: -23.215 eV for the cell shown. The value obtained for the total magnetization is 0.37 μB/f.u. Its formation energy is -0.094 eV/atom.

abc: 3.4349 3.4349 10.4485
angles: 80.54 80.54 60.00
Last column: nearest neighbours and their distance in Å.
Atoms (fractional coordinates):
Sc (0.0000, 0.0000, 0.0000)  2 Ho 3.21, 6 Sc 3.43
Ho (0.8958, 0.8958, 0.3125)  3 Rh 2.76
Ho (0.1042, 0.1042, 0.6875)  3 Rh 2.76
Rh (0.5000, 0.5000, 0.5000)  6 Ho 2.76

=====

Entry 3:
The following is a DFT calculation (GGA-PBE) of a geometry-optimized SmDyHo4 structure.

Summary:
The density of states at the Fermi level comes out at 1.952 states/eV per atom. Its offset from the most stable computed form is 270.7 meV per atom. As for the total energy: -25.964 eV for the cell shown. The value obtained for the total magnetization is 1.00 μB/f.u. Its formation energy is 0.278 eV/atom.

abc: 6.5574 6.5574 6.5574
angles: 60.00 60.00 60.00
Last column: nearest neighbours and their distance in Å.
Atoms (fractional coordinates):
Ho (0.6252, 0.1243, 0.6252)  6 Ho 3.27-3.28
Ho (0.6252, 0.6252, 0.6252)  6 Ho 3.27-3.28
Ho (0.1243, 0.6252, 0.6252)  6 Ho 3.27-3.28
Ho (0.6252, 0.6252, 0.1243)  6 Ho 3.27-3.28
Dy (0.0000, 0.0000, 0.0000)  12 Ho 3.84, 4 Sm 4.02
Sm (0.2500, 0.2500, 0.2500)  12 Ho 3.85, 4 Dy 4.02

=====

Entry 4:
The following is a DFT calculation (GGA-PBE) of a geometry-optimized Dy2ThO structure.

Summary:
The density of states at the Fermi level comes out at 0.840 states/eV per atom. Its offset from the most stable computed form is 550.7 meV per atom. As for the total energy: -24.848 eV for the cell shown. The value obtained for the total magnetization is 0.00 μB/f.u. As for the formation energy from raw total energies: -816.5 meV/atom.

abc: 3.2446 3.2446 8.4500
angles: 90.00 90.00 90.00
Last column: nearest neighbours and their distance in Å.
Atoms (fractional coordinates):
O (0.5000, 0.5000, 0.0000)  8 Dy 2.76
Dy (0.0000, 0.0000, 0.1807)  4 O 2.76, 1 Dy 3.05
Dy (0.0000, 0.0000, 0.8193)  4 O 2.76, 1 Dy 3.05
Th (0.5000, 0.5000, 0.5000)  4 Th 3.24, 8 Dy 3.54

=====

Entry 5:
The following is a DFT calculation (GGA-PBE) of a geometry-optimized Sr2TcSb structure.

Summary:
The density of states at the Fermi level comes out at 0.642 states/eV per atom. As for the total energy: -16.034 eV for the cell shown. The value obtained for the total magnetization is 1.00 μB/f.u. As for the formation energy from raw total energies: 454.6 meV/atom.

abc: 10.4434 10.4434 10.4434
angles: 19.85 19.85 19.85
Last column: nearest neighbours and their distance in Å.
Atoms (fractional coordinates):
Sr (0.9929, 0.9929, 0.9929)  3 Tc 3.13, 3 Sb 3.47
Sr (0.5071, 0.5071, 0.5071)  3 Tc 3.13, 3 Sb 3.47
Tc (0.2500, 0.2500, 0.2500)  6 Sr 3.13
Sb (0.7500, 0.7500, 0.7500)  6 Sr 3.47, 6 Sb 3.60

=====

Entry 6:
The following is a DFT calculation (GGA-PBE) of a geometry-optimized SrAl3Tc structure.

Summary:
The density of states at the Fermi level comes out at 0.700 states/eV per atom. Its offset from the most stable computed form is 706.1 meV per atom. As for the total energy: -21.356 eV for the cell shown. The value obtained for the total magnetization is 0.00 μB/f.u. Its formation energy is 0.384 eV/atom.

abc: 3.5481 7.7539 7.7539
angles: 139.00 90.00 90.00
Last column: nearest neighbours and their distance in Å.
Atoms (fractional coordinates):
Al (0.5000, 0.1288, 0.3466)  2 Tc 2.51, 3 Al 2.58-2.72
Al (0.0000, 0.2879, 0.7121)  1 Tc 2.57, 4 Al 2.72
Al (0.5000, 0.6534, 0.8712)  2 Tc 2.51, 3 Al 2.58-2.72
Sr (0.5000, 0.0933, 0.9067)  4 Al 3.21-3.34, 2 Sr 3.55
Tc (0.0000, 0.4647, 0.5353)  5 Al 2.51-2.57